No. 1
! BiSbPd2, optimized geometry, DFT GGA-PBE; values from VASP
&SYSTEM
  ibrav = 0, nat = 4, ntyp = 3
/
ATOMIC_SPECIES
Pd 106.42 Pd.upf
Bi 208.98 Bi.upf
Sb 121.76 Sb.upf
ATOMIC_POSITIONS angstrom
Pd 0.000 2.423 1.387
Pd 0.000 2.423 4.325
Bi 0.000 0.000 2.856
Sb 2.098 1.212 0.000
CELL_PARAMETERS angstrom
4.197 0.000 0.000
-2.098 3.635 0.000
0.000 0.000 5.712
! Volume (Å³/cell): 87
! E_tot (eV per formula unit): -20.01

---

No. 2
! ScCdPO, optimized geometry, DFT GGA-PBE; values from VASP
&SYSTEM
  ibrav = 0, nat = 4, ntyp = 4
/
ATOMIC_SPECIES
O 16.00 O.upf
P 30.97 P.upf
Cd 112.41 Cd.upf
Sc 44.96 Sc.upf
ATOMIC_POSITIONS angstrom
O 1.856 1.856 0.000
P 0.000 0.000 2.382
Cd 0.000 0.000 0.000
Sc 1.856 1.856 2.382
CELL_PARAMETERS angstrom
3.712 0.000 0.000
0.000 3.712 0.000
0.000 0.000 4.763
! Volume (Å³/cell): 66
! E_tot (eV per formula unit): -22.44